VASP calculation (GGA-PBEsol) on a relaxed P4O7 crystal.

energy relative to the elements, uncorrected: -1.6907 eV per atom
total DFT energy (no corrections): -7.1372 eV per atom
SG: P2_1/c

Geometry as CIF:
```
data_P4O7
_symmetry_space_group_name_H-M 'P 1'
_symmetry_Int_Tables_number 1
_cell_length_a 7.8642
_cell_length_b 9.3318
_cell_length_c 9.2000
_cell_angle_alpha 90.00
_cell_angle_beta 90.00
_cell_angle_gamma 94.02
loop_
_symmetry_equiv_pos_as_xyz
'x,y,z'
loop_
_atom_site_label
_atom_site_type_symbol
_atom_site_fract_x
_atom_site_fract_y
_atom_site_fract_z
P1 P 0.3578 0.6299 0.3712
P2 P 0.6422 0.3701 0.6288
P3 P 0.2751 0.1641 0.9040
P4 P 0.9146 0.9301 0.3611
P5 P 0.1422 0.8701 0.8712
P6 P 0.2249 0.3359 0.4040
P7 P 0.0703 0.5290 0.1917
P8 P 0.7249 0.8359 0.0960
P9 P 0.5854 0.5699 0.8611
P10 P 0.4146 0.4301 0.1389
P11 P 0.8578 0.1299 0.1288
P12 P 0.0854 0.0699 0.6389
P13 P 0.7751 0.6641 0.5960
P14 P 0.4297 0.9710 0.6917
P15 P 0.5703 0.0290 0.3083
P16 P 0.9297 0.4710 0.8083
O1 O 0.4358 0.7527 0.4520
O2 O 0.1435 0.1868 0.7678
O3 O 0.8163 0.3425 0.7084
O4 O 0.0642 0.7473 0.9520
O5 O 0.4357 0.0992 0.8176
O6 O 0.2712 0.0183 0.5887
O7 O 0.3129 0.4920 0.4705
O8 O 0.6871 0.5080 0.5295
O9 O 0.7288 0.9817 0.4113
O10 O 0.0643 0.4008 0.3176
O11 O 0.1837 0.6575 0.2916
O12 O 0.5643 0.9008 0.1824
O13 O 0.0239 0.9281 0.7458
O14 O 0.9357 0.5992 0.6824
O15 O 0.3163 0.8425 0.7916
O16 O 0.5239 0.4281 0.7542
O17 O 0.6837 0.1575 0.2084
O18 O 0.9358 0.2527 0.0480
O19 O 0.3565 0.3132 0.2678
O20 O 0.1871 0.0080 0.9705
O21 O 0.2288 0.4817 0.0887
O22 O 0.9761 0.0719 0.2542
O23 O 0.8129 0.9920 0.0295
O24 O 0.7712 0.5183 0.9113
O25 O 0.4761 0.5719 0.2458
O26 O 0.6435 0.6868 0.7322
O27 O 0.5642 0.2473 0.5480
O28 O 0.8565 0.8132 0.2322
```